TiCr2SiAu | GGA-PBE | optimized geometry

CIF file:
```
data_TiCr2SiAu
_chemical_formula_sum 'Ti1 Cr2 Si1 Au1'
_cell_length_a 4.385
_cell_length_b 4.385
_cell_length_c 4.622
_cell_angle_alpha 90.00
_cell_angle_beta 90.00
_cell_angle_gamma 90.00
_space_group_name_H-M_alt 'P 4/m m m'
_space_group_IT_number 123
_space_group_name_Hall '-P 4 2'
loop_
_atom_site_label
_atom_site_type_symbol
_atom_site_fract_x
_atom_site_fract_y
_atom_site_fract_z
Ti1 Ti 0.000 0.000 0.000
Cr1 Cr 0.000 0.500 0.500
Si1 Si 0.000 0.000 0.500
Au1 Au 0.500 0.500 0.000
```

The calculation puts the uncorrected formation energy at 56.1 kJ per mole of atoms. As for the total energy: -6.587 eV per atom. Its volume is 89 Å³/f.u.

---

K2Rb3Na4 | GGA-PBE | optimized geometry

CIF file:
```
data_K2Rb3Na4
_chemical_formula_sum 'K2 Rb3 Na4'
_cell_length_a 6.890
_cell_length_b 8.392
_cell_length_c 10.573
_cell_angle_alpha 102.54
_cell_angle_beta 90.19
_cell_angle_gamma 113.67
_space_group_name_H-M_alt 'P -1'
_space_group_IT_number 2
loop_
_space_group_symop_operation_xyz
'x,y,z'
'-x,-y,-z'
loop_
_atom_site_label
_atom_site_type_symbol
_atom_site_fract_x
_atom_site_fract_y
_atom_site_fract_z
K1 K 0.243 0.482 0.332
Rb1 Rb 0.000 0.000 0.000
Rb2 Rb 0.468 0.939 0.709
Na1 Na 0.104 0.212 0.623
Na2 Na 0.274 0.549 0.944
```

As for the total energy: -1.120 eV per atom. The value obtained for the formation energy from the elements is 0.032 eV/atom. The calculation puts the energy above the most stable polymorph in this dataset at 0 meV/atom. Its volume is 544 Å³/f.u.

---

CoPBrCl2 | GGA-PBE | optimized geometry

CIF file:
```
data_CoPBrCl2
_chemical_formula_sum 'Co1 P1 Br1 Cl2'
_cell_length_a 4.551
_cell_length_b 4.551
_cell_length_c 4.679
_cell_angle_alpha 90.00
_cell_angle_beta 90.00
_cell_angle_gamma 90.00
_space_group_name_H-M_alt 'P 4/m m m'
_space_group_IT_number 123
_space_group_name_Hall '-P 4 2'
loop_
_atom_site_label
_atom_site_type_symbol
_atom_site_fract_x
_atom_site_fract_y
_atom_site_fract_z
Co1 Co 0.000 0.000 0.000
P1 P 0.000 0.000 0.500
Br1 Br 0.500 0.500 0.500
Cl1 Cl 0.000 0.500 0.000
```

The calculation puts the uncorrected formation energy at 21.6 kJ per mole of atoms. As for the total energy: -3.352 eV per atom. The calculation puts the energy above the most stable polymorph in this dataset at 0 meV/atom. Its volume is 97 Å³/f.u.

---

Na3TeCl | GGA-PBE | optimized geometry

CIF file:
```
data_Na3TeCl
_chemical_formula_sum 'Na3 Te1 Cl1'
_cell_length_a 5.198
_cell_length_b 5.198
_cell_length_c 5.198
_cell_angle_alpha 90.00
_cell_angle_beta 90.00
_cell_angle_gamma 90.00
_space_group_name_H-M_alt 'P m -3 m'
_space_group_IT_number 221
_space_group_name_Hall '-P 4 2 3'
loop_
_atom_site_label
_atom_site_type_symbol
_atom_site_fract_x
_atom_site_fract_y
_atom_site_fract_z
Na1 Na 0.000 0.000 0.500
Te1 Te 0.500 0.500 0.500
Cl1 Cl 0.000 0.000 0.000
```

The calculation puts the uncorrected formation energy at -110.4 kJ per mole of atoms. As for the total energy: -2.933 eV per atom. The calculation puts the energy above the most stable polymorph in this dataset at 0 meV/atom. Its volume is 140 Å³/f.u.

---

Cs4Hf3Se14 | GGA-PBE | optimized geometry

CIF file:
```
data_Cs4Hf3Se14
_chemical_formula_sum 'Cs16 Hf12 Se56'
_cell_length_a 22.991
_cell_length_b 9.046
_cell_length_c 15.136
_cell_angle_alpha 90.00
_cell_angle_beta 112.82
_cell_angle_gamma 90.00
_space_group_name_H-M_alt 'C 1 2/c 1'
_space_group_IT_number 15
loop_
_space_group_symop_operation_xyz
'x,y,z'
'-x,-y,-z'
'-x,y,-z+1/2'
'x,-y,z+1/2'
'x+1/2,y+1/2,z'
'-x+1/2,-y+1/2,-z'
'-x+1/2,y+1/2,-z+1/2'
'x+1/2,-y+1/2,z+1/2'
loop_
_atom_site_label
_atom_site_type_symbol
_atom_site_fract_x
_atom_site_fract_y
_atom_site_fract_z
Cs1 Cs 0.066 0.249 0.149
Cs2 Cs 0.197 0.319 0.602
Hf1 Hf 0.000 0.260 0.750
Hf2 Hf 0.168 0.257 0.913
Se1 Se 0.036 0.333 0.605
Se2 Se 0.064 0.104 0.917
Se3 Se 0.081 0.482 0.864
Se4 Se 0.101 0.145 0.724
Se5 Se 0.147 0.039 0.390
Se6 Se 0.176 0.487 0.334
Se7 Se 0.218 0.286 0.096
```

The calculation puts the uncorrected formation energy at -101.9 kJ per mole of atoms. As for the total energy: -4.963 eV per atom. Its volume is 725 Å³/f.u.

---

CuNi5Br12 | GGA-PBE | optimized geometry

CIF file:
```
data_CuNi5Br12
_chemical_formula_sum 'Cu2 Ni10 Br24'
_cell_length_a 6.392
_cell_length_b 11.075
_cell_length_c 13.596
_cell_angle_alpha 90.00
_cell_angle_beta 90.09
_cell_angle_gamma 90.00
_space_group_name_H-M_alt 'C 1 2/m 1'
_space_group_IT_number 12
loop_
_space_group_symop_operation_xyz
'x,y,z'
'-x,-y,-z'
'-x,y,-z'
'x,-y,z'
'x+1/2,y+1/2,z'
'-x+1/2,-y+1/2,-z'
'-x+1/2,y+1/2,-z'
'x+1/2,-y+1/2,z'
loop_
_atom_site_label
_atom_site_type_symbol
_atom_site_fract_x
_atom_site_fract_y
_atom_site_fract_z
Cu1 Cu 0.000 0.000 0.000
Ni1 Ni 0.000 0.167 0.500
Ni2 Ni 0.000 0.333 0.000
Ni3 Ni 0.000 0.500 0.500
Br1 Br 0.159 0.500 0.104
Br2 Br 0.166 0.000 0.397
Br3 Br 0.166 0.333 0.397
Br4 Br 0.171 0.170 0.104
```

The calculation puts the uncorrected formation energy at -30.6 kJ per mole of atoms. As for the total energy: -3.266 eV per atom. Its volume is 481 Å³/f.u.

---

Y2AgPb | GGA-PBE | optimized geometry

CIF file:
```
data_Y2AgPb
_chemical_formula_sum 'Y6 Ag3 Pb3'
_cell_length_a 3.8281
_cell_length_b 3.8281
_cell_length_c 27.0083
_cell_angle_alpha 90.00
_cell_angle_beta 90.00
_cell_angle_gamma 120.00
_space_group_name_H-M_alt 'R -3 m'
_space_group_IT_number 166
_space_group_name_Hall '-R 3 2"'
loop_
_atom_site_label
_atom_site_type_symbol
_atom_site_fract_x
_atom_site_fract_y
_atom_site_fract_z
Y1 Y 0.0000 0.0000 0.2421
Ag1 Ag 0.0000 0.0000 0.5000
Pb1 Pb 0.0000 0.0000 0.0000
```

As for the total energy: -5.083 eV per atom. The value obtained for the formation energy from the elements is -0.211 eV/atom. Its volume is 114 Å³/f.u.

---

MgFe3Re | GGA-PBE | optimized geometry

CIF file:
```
data_MgFe3Re
_chemical_formula_sum 'Mg1 Fe3 Re1'
_cell_length_a 4.523
_cell_length_b 4.523
_cell_length_c 4.523
_cell_angle_alpha 90.00
_cell_angle_beta 90.00
_cell_angle_gamma 90.00
_space_group_name_H-M_alt 'P m -3 m'
_space_group_IT_number 221
_space_group_name_Hall '-P 4 2 3'
loop_
_atom_site_label
_atom_site_type_symbol
_atom_site_fract_x
_atom_site_fract_y
_atom_site_fract_z
Mg1 Mg 0.000 0.000 0.000
Fe1 Fe 0.000 0.500 0.500
Re1 Re 0.500 0.500 0.500
```

As for the total energy: -6.670 eV per atom. The value obtained for the formation energy from the elements is 1.216 eV/atom. The calculation puts the energy above the most stable polymorph in this dataset at 0 meV/atom. Its volume is 93 Å³/f.u.

---

KAs2IBr | GGA-PBE | optimized geometry

CIF file:
```
data_KAs2IBr
_chemical_formula_sum 'K1 As2 I1 Br1'
_cell_length_a 5.314
_cell_length_b 5.314
_cell_length_c 7.771
_cell_angle_alpha 90.00
_cell_angle_beta 90.00
_cell_angle_gamma 90.00
_space_group_name_H-M_alt 'P 4/m m m'
_space_group_IT_number 123
_space_group_name_Hall '-P 4 2'
loop_
_atom_site_label
_atom_site_type_symbol
_atom_site_fract_x
_atom_site_fract_y
_atom_site_fract_z
K1 K 0.000 0.000 0.000
As1 As 0.000 0.500 0.500
I1 I 0.500 0.500 0.500
Br1 Br 0.500 0.500 0.000
```

The calculation puts the uncorrected formation energy at 28.1 kJ per mole of atoms. As for the total energy: -2.433 eV per atom. The calculation puts the energy above the most stable polymorph in this dataset at 0 meV/atom. Its volume is 219 Å³/f.u.

---

KGeBiPt2 | GGA-PBE | optimized geometry

CIF file:
```
data_KGeBiPt2
_chemical_formula_sum 'K2 Ge2 Bi2 Pt4'
_cell_length_a 7.055
_cell_length_b 4.288
_cell_length_c 9.648
_cell_angle_alpha 90.00
_cell_angle_beta 104.38
_cell_angle_gamma 90.00
_space_group_name_H-M_alt 'P 1 21/m 1'
_space_group_IT_number 11
loop_
_space_group_symop_operation_xyz
'x,y,z'
'-x,-y,-z'
'-x,y+1/2,-z'
'x,-y+1/2,z'
loop_
_atom_site_label
_atom_site_type_symbol
_atom_site_fract_x
_atom_site_fract_y
_atom_site_fract_z
K1 K 0.064 0.250 0.272
Ge1 Ge 0.279 0.750 0.541
Bi1 Bi 0.350 0.750 0.059
Pt1 Pt 0.468 0.750 0.794
Pt2 Pt 0.473 0.250 0.600
```

As for the total energy: -4.688 eV per atom. The value obtained for the formation energy from the elements is -0.353 eV/atom. Its volume is 141 Å³/f.u.

---

Er2Zn3Cu12Pd | GGA-PBE | optimized geometry

CIF file:
```
data_Er2Zn3Cu12Pd
_chemical_formula_sum 'Er6 Zn9 Cu36 Pd3'
_cell_length_a 5.1867
_cell_length_b 5.1867
_cell_length_c 35.7232
_cell_angle_alpha 90.00
_cell_angle_beta 90.00
_cell_angle_gamma 120.00
_space_group_name_H-M_alt 'R -3 m'
_space_group_IT_number 166
_space_group_name_Hall '-R 3 2"'
loop_
_atom_site_label
_atom_site_type_symbol
_atom_site_fract_x
_atom_site_fract_y
_atom_site_fract_z
Er1 Er 0.0000 0.0000 0.1436
Zn1 Zn 0.0000 0.5000 0.0000
Cu1 Cu 0.0009 0.5004 0.8915
Cu2 Cu 0.0155 0.5077 0.6117
Pd1 Pd 0.0000 0.0000 0.5000
```

As for the total energy: -3.732 eV per atom. The value obtained for the formation energy from the elements is 0.007 eV/atom. Its volume is 277 Å³/f.u.

---

SrPAu4 | GGA-PBE | optimized geometry

CIF file:
```
data_SrPAu4
_chemical_formula_sum 'Sr4 P4 Au16'
_cell_length_a 7.976
_cell_length_b 7.976
_cell_length_c 7.976
_cell_angle_alpha 90.00
_cell_angle_beta 90.00
_cell_angle_gamma 90.00
_space_group_name_H-M_alt 'F -4 3 m'
_space_group_IT_number 216
_space_group_name_Hall 'F -4 2 3'
loop_
_atom_site_label
_atom_site_type_symbol
_atom_site_fract_x
_atom_site_fract_y
_atom_site_fract_z
Sr1 Sr 0.000 0.000 0.000
P1 P 0.250 0.250 0.250
Au1 Au 0.125 0.125 0.625
```

As for the total energy: -3.581 eV per atom. The value obtained for the formation energy from the elements is -0.215 eV/atom. Its volume is 127 Å³/f.u.